P:
DFT (GGA-PBE) results for a geometry-optimized ZrGaCl3 structure.

Cell and atoms, written as POSCAR:
```
ZrGaCl3
1.0
5.1000 0.0000 0.0000
0.0000 5.1000 0.0000
0.0000 0.0000 5.1000
Zr Ga Cl
1 1 3
Direct
0.0000 0.0000 0.0000
0.5000 0.5000 0.5000
0.0000 0.0000 0.5000
0.0000 0.5000 0.0000
0.5000 0.0000 0.0000
```

- Crystal system: cubic

=====

Q:
DFT (GGA-PBE) results for a geometry-optimized ZrGaCl3 structure.

Cell and atoms, written as POSCAR:
```
ZrGaCl3
1.0
5.0815 0.0000 0.0000
0.0000 5.0815 0.0000
0.0000 0.0000 5.0815
Zr Ga Cl
1 1 3
Direct
0.0000 0.0000 0.0000
0.5000 0.5000 0.5000
0.0000 0.5000 0.5000
0.5000 0.0000 0.5000
0.5000 0.5000 0.0000
```

- Crystal system: cubic

=====

Tell me which of them is the least stable. Sure, it is Q.

=====

P:
DFT (GGA-PBE) results for a geometry-optimized GeCl4 structure.

Cell and atoms, written as POSCAR:
```
GeCl4
1.0
4.9581 0.0000 0.0000
0.0000 4.9581 0.0000
0.0000 0.0000 4.9581
Ge Cl
1 4
Direct
0.0000 0.0000 0.0000
0.0000 0.0000 0.5000
0.0000 0.5000 0.0000
0.5000 0.0000 0.0000
0.5000 0.5000 0.5000
```

- Crystal system: cubic

=====

Q:
DFT (GGA-PBE) results for a geometry-optimized GeCl4 structure.

Cell and atoms, written as POSCAR:
```
GeCl4
1.0
5.8952 0.0000 0.0000
0.0000 11.3813 0.0000
-0.0115 0.0000 5.9831
Ge Cl
2 8
Direct
0.0000 0.2502 0.2500
0.0000 0.7498 0.7500
0.2088 0.1418 0.0442
0.2088 0.8582 0.5442
0.2097 0.3588 0.4554
0.2097 0.6412 0.9554
0.7903 0.3588 0.0446
0.7903 0.6412 0.5446
0.7912 0.1418 0.4558
0.7912 0.8582 0.9558
```

- Crystal system: monoclinic

=====

Tell me which of them is the least stable. Sure, it is P.